The following is a DFT calculation (PBE) of a geometry-optimized RbP2Ir2 structure.

Summary:
* VASP energy: -6.53 eV per atom

Cell: 7.4531 7.4531 7.4531 Å, 149.15 149.15 44.19°
Atoms (fractional coordinates):
Ir 0.7500 0.2500 0.5000
P 0.6572 0.6572 0.0000
P 0.3428 0.3428 0.0000
Rb 0.0000 0.0000 0.0000
Ir 0.2500 0.7500 0.5000